[1]
A relaxed structure of Fe3Os. Source: Alexandria via LeMat-Bulk, functional PBE.

CIF file:
```
data_Fe3Os
_chemical_formula_sum 'Fe3 Os1'
_symmetry_space_group_name_H-M 'P -6 m 2'
_symmetry_Int_Tables_number 187
_symmetry_space_group_name_Hall 'P -6 2'
_cell_length_a 2.5945
_cell_length_b 2.5945
_cell_length_c 7.9411
_cell_angle_alpha 90.00
_cell_angle_beta 90.00
_cell_angle_gamma 120.00
loop_
_atom_site_label
_atom_site_type_symbol
_atom_site_fract_x
_atom_site_fract_y
_atom_site_fract_z
Fe1 Fe 0.0000 0.0000 0.0000
Fe2 Fe 0.3333 0.6667 0.2391
Os1 Os 0.0000 0.0000 0.5000
```

## Properties
Electronic total energy: -8.98 eV per atom
Energy of formation: 0.170 eV/atom
N(E_F): 1.2578 states/eV per atom

[2]
A relaxed structure of Fe2Os3. Source: Alexandria via LeMat-Bulk, functional PBE.

CIF file:
```
data_Fe2Os3
_chemical_formula_sum 'Fe2 Os3'
_symmetry_space_group_name_H-M 'P -3 m 1'
_symmetry_Int_Tables_number 164
_symmetry_space_group_name_Hall '-P 3 2"'
_cell_length_a 4.0410
_cell_length_b 4.0410
_cell_length_c 5.0645
_cell_angle_alpha 90.00
_cell_angle_beta 90.00
_cell_angle_gamma 120.00
loop_
_atom_site_label
_atom_site_type_symbol
_atom_site_fract_x
_atom_site_fract_y
_atom_site_fract_z
Fe1 Fe 0.3333 0.6667 0.3299
Os1 Os 0.0000 0.0000 0.5000
Os2 Os 0.3333 0.6667 0.8494
```

## Properties
Electronic total energy: -9.56 eV per atom
Excess energy over the best structure of this formula in the dataset: 1.89 eV/f.u.
Energy of formation: 0.561 eV/atom
N(E_F): 0.9980 states/eV per atom

[3]
A relaxed structure of Fe4Os3. Source: Alexandria via LeMat-Bulk, functional PBE.

CIF file:
```
data_Fe4Os3
_chemical_formula_sum 'Fe4 Os3'
_symmetry_space_group_name_H-M 'P 6/m m m'
_symmetry_Int_Tables_number 191
_symmetry_space_group_name_Hall '-P 6 2'
_cell_length_a 5.0208
_cell_length_b 5.0208
_cell_length_c 4.4970
_cell_angle_alpha 90.00
_cell_angle_beta 90.00
_cell_angle_gamma 120.00
loop_
_atom_site_label
_atom_site_type_symbol
_atom_site_fract_x
_atom_site_fract_y
_atom_site_fract_z
Fe1 Fe 0.0000 0.0000 0.2505
Fe2 Fe 0.3333 0.6667 0.0000
Os1 Os 0.0000 0.5000 0.5000
```

## Properties
Electronic total energy: -9.20 eV per atom
Excess energy over the best structure of this formula in the dataset: 2.11 eV/f.u.
Energy of formation: 0.449 eV/atom
N(E_F): 1.3405 states/eV per atom